A plane-wave DFT calculation with PBE with a Hubbard U was carried out for a geometry-optimized UIn2FeO8 structure.

Cell lengths 4.9132, 4.9122, 6.5666 Å; angles 87.87, 92.13, 92.12 degrees
Site moments in Bohr magnetons follow the coordinates.
Element x y z (fractional)
U: 0.0000 0.0000 0.0000  0.04
In: 0.4921 0.5080 0.7380  0.01
In: 0.5079 0.4920 0.2620  0.01
Fe: 0.0000 0.0000 0.5000  4.04
O: 0.1883 0.8121 0.2412  0.04
O: 0.6966 0.6960 0.0001  -0.01
O: 0.8213 0.1785 0.2642  -0.03
O: 0.8117 0.1879 0.7588  0.04
O: 0.3034 0.3040 0.9999  -0.01
O: 0.1787 0.8215 0.7358  -0.03
O: 0.7145 0.7144 0.5000  -0.04
O: 0.2855 0.2856 0.5000  -0.04

- total moment (Bohr magnetons per cell) = 4.0
- space-group type = No. 12
- uncorrected energy (eV per atom) = -7.054